Record 1
# PBE SrCd2Hg6, optimized geometry
# Total magnetic moment (μB/atom): 0.000
# Calculated formation energy (eV/f.u.): -0.6
# Total DFT energy (no corrections) (eV per cell): -5.956
# SG: No. 162
# Excess energy over the best structure of this formula in the dataset (eV per atom): 0.117
data_SrCd2Hg6
_chemical_formula_sum 'Sr1 Cd2 Hg6'
_symmetry_space_group_name_H-M 'P 1'
_symmetry_Int_Tables_number 1
_symmetry_space_group_name_Hall 'P 1'
_cell_length_a 5.672
_cell_length_b 5.672
_cell_length_c 10.412
_cell_angle_alpha 90.00
_cell_angle_beta 90.00
_cell_angle_gamma 120.00
loop_
_atom_site_label
_atom_site_type_symbol
_atom_site_fract_x
_atom_site_fract_y
_atom_site_fract_z
Sr1 Sr 0.000 0.000 0.000
Cd1 Cd 0.333 0.667 0.500
Cd2 Cd 0.667 0.333 0.500
Hg1 Hg 0.000 0.346 0.748
Hg2 Hg 0.000 0.654 0.252
Hg3 Hg 0.346 0.000 0.748
Hg4 Hg 0.346 0.346 0.252
Hg5 Hg 0.654 0.000 0.252
Hg6 Hg 0.654 0.654 0.748


Record 2
# PBE SrCdHg2Te, optimized geometry
# Energy relative to the elements, uncorrected (meV per atom): -111
# Total magnetic moment (μB/atom): 0.000
# Total DFT energy (no corrections) (eV per cell): -6.899
# SG: No. 123
data_SrCdHg2Te
_chemical_formula_sum 'Sr1 Cd1 Hg2 Te1'
_symmetry_space_group_name_H-M 'P 1'
_symmetry_Int_Tables_number 1
_symmetry_space_group_name_Hall 'P 1'
_cell_length_a 6.734
_cell_length_b 6.734
_cell_length_c 6.036
_cell_angle_alpha 90.00
_cell_angle_beta 90.00
_cell_angle_gamma 90.00
loop_
_atom_site_label
_atom_site_type_symbol
_atom_site_fract_x
_atom_site_fract_y
_atom_site_fract_z
Sr1 Sr 0.000 0.000 0.000
Cd1 Cd 0.500 0.500 0.500
Hg1 Hg 0.000 0.500 0.000
Hg2 Hg 0.500 0.000 0.000
Te1 Te 0.000 0.000 0.500


Record 3
# PBE SrTl2Cd2Hg2, optimized geometry
# Total magnetic moment (μB/atom): 0.000
# Calculated formation energy (eV/f.u.): -1.4
# Total DFT energy (no corrections) (eV per cell): -10.278
# SG: No. 12
data_SrTl2Cd2Hg2
_chemical_formula_sum 'Sr1 Tl2 Cd2 Hg2'
_symmetry_space_group_name_H-M 'P 1'
_symmetry_Int_Tables_number 1
_symmetry_space_group_name_Hall 'P 1'
_cell_length_a 5.033
_cell_length_b 5.033
_cell_length_c 9.606
_cell_angle_alpha 105.40
_cell_angle_beta 105.40
_cell_angle_gamma 60.08
loop_
_atom_site_label
_atom_site_type_symbol
_atom_site_fract_x
_atom_site_fract_y
_atom_site_fract_z
Sr1 Sr 0.000 0.000 0.000
Tl1 Tl 0.141 0.141 0.424
Tl2 Tl 0.859 0.859 0.576
Cd1 Cd 0.420 0.420 0.258
Cd2 Cd 0.580 0.580 0.742
Hg1 Hg 0.271 0.271 0.816
Hg2 Hg 0.729 0.729 0.184


Record 4
# PBE Sr3Tl2Cd2Hg4, optimized geometry
# Total magnetic moment (μB/atom): 0.000
# Calculated formation energy (eV/f.u.): -3.7
# Total DFT energy (no corrections) (eV per cell): -16.551
# SG: No. 164
data_Sr3Tl2Cd2Hg4
_chemical_formula_sum 'Sr3 Tl2 Cd2 Hg4'
_symmetry_space_group_name_H-M 'P 1'
_symmetry_Int_Tables_number 1
_symmetry_space_group_name_Hall 'P 1'
_cell_length_a 5.164
_cell_length_b 5.164
_cell_length_c 14.418
_cell_angle_alpha 90.00
_cell_angle_beta 90.00
_cell_angle_gamma 120.00
loop_
_atom_site_label
_atom_site_type_symbol
_atom_site_fract_x
_atom_site_fract_y
_atom_site_fract_z
Sr1 Sr 0.000 0.000 0.000
Sr2 Sr 0.000 0.000 0.280
Sr3 Sr 0.000 0.000 0.720
Tl1 Tl 0.333 0.667 0.142
Tl2 Tl 0.667 0.333 0.858
Cd1 Cd 0.333 0.667 0.578
Cd2 Cd 0.667 0.333 0.422
Hg1 Hg 0.333 0.667 0.378
Hg2 Hg 0.333 0.667 0.874
Hg3 Hg 0.667 0.333 0.126
Hg4 Hg 0.667 0.333 0.622


Record 5
# PBE SrTlCdHg2, optimized geometry
# Total magnetic moment (μB/atom): 0.000
# Calculated formation energy (eV/f.u.): -1.3
# Total DFT energy (no corrections) (eV per cell): -13.757
# SG: No. 51
data_SrTlCdHg2
_chemical_formula_sum 'Sr2 Tl2 Cd2 Hg4'
_symmetry_space_group_name_H-M 'P 1'
_symmetry_Int_Tables_number 1
_symmetry_space_group_name_Hall 'P 1'
_cell_length_a 6.299
_cell_length_b 7.061
_cell_length_c 6.501
_cell_angle_alpha 90.00
_cell_angle_beta 90.00
_cell_angle_gamma 90.00
loop_
_atom_site_label
_atom_site_type_symbol
_atom_site_fract_x
_atom_site_fract_y
_atom_site_fract_z
Sr1 Sr 0.250 0.000 0.248
Sr2 Sr 0.750 0.000 0.752
Tl1 Tl 0.250 0.500 0.083
Tl2 Tl 0.750 0.500 0.917
Cd1 Cd 0.000 0.500 0.500
Cd2 Cd 0.500 0.500 0.500
Hg1 Hg 0.250 0.210 0.736
Hg2 Hg 0.250 0.790 0.736
Hg3 Hg 0.750 0.210 0.264
Hg4 Hg 0.750 0.790 0.264


Record 6
# PBE Sr2TmCd3Hg12, optimized geometry
# Total magnetic moment (μB/atom): 0.000
# Calculated formation energy (eV/f.u.): -2.8
# Total DFT energy (no corrections) (eV per cell): -17.012
# SG: No. 166
data_Sr2TmCd3Hg12
_chemical_formula_sum 'Sr2 Tm1 Cd3 Hg12'
_symmetry_space_group_name_H-M 'P 1'
_symmetry_Int_Tables_number 1
_symmetry_space_group_name_Hall 'P 1'
_cell_length_a 13.079
_cell_length_b 13.079
_cell_length_c 13.079
_cell_angle_alpha 31.08
_cell_angle_beta 31.08
_cell_angle_gamma 31.08
loop_
_atom_site_label
_atom_site_type_symbol
_atom_site_fract_x
_atom_site_fract_y
_atom_site_fract_z
Sr1 Sr 0.136 0.136 0.136
Sr2 Sr 0.864 0.864 0.864
Tm1 Tm 0.500 0.500 0.500
Cd1 Cd 0.000 0.500 0.500
Cd2 Cd 0.500 0.000 0.500
Cd3 Cd 0.500 0.500 0.000
Hg1 Hg 0.091 0.624 0.624
Hg2 Hg 0.093 0.093 0.652
Hg3 Hg 0.093 0.652 0.093
Hg4 Hg 0.348 0.907 0.907
Hg5 Hg 0.376 0.376 0.909
Hg6 Hg 0.376 0.909 0.376
Hg7 Hg 0.624 0.091 0.624
Hg8 Hg 0.624 0.624 0.091
Hg9 Hg 0.652 0.093 0.093
Hg10 Hg 0.907 0.348 0.907
Hg11 Hg 0.907 0.907 0.348
Hg12 Hg 0.909 0.376 0.376